Model i:
Below is a geometry-optimized Li2CuI structure, with properties calculated at the GGA-PBE level.

Cell and atoms, written as POSCAR:
```
Li2CuI
1.0
0.0000 3.4781 3.4781
3.4781 0.0000 3.4781
3.4781 3.4781 0.0000
Li Cu I
2 1 1
Cartesian
1.7390 1.7390 1.7390 Li
5.2171 5.2171 5.2171 Li
0.0000 0.0000 0.0000 Cu
3.4781 3.4781 3.4781 I
```

Values from the calculation:
density of states at the Fermi level	0.000	states/eV/f.u.
spin magnetization	0.00	μB per cell
crystal system	cubic

Model ii:
Below is a geometry-optimized Li2CuI structure, with properties calculated at the GGA-PBE level.

Cell and atoms, written as POSCAR:
```
Li2CuI
1.0
4.6557 0.0000 0.0000
0.0000 4.6557 0.0000
0.0000 0.0000 3.6459
Li Cu I
2 1 1
Cartesian
0.0000 2.3278 0.0000 Li
2.3278 0.0000 0.0000 Li
0.0000 0.0000 1.8229 Cu
2.3278 2.3278 1.8229 I
```

Values from the calculation:
density of states at the Fermi level	0.007	states/eV/f.u.
spin magnetization	0.00	μB per cell
crystal system	tetragonal

Least stable = model i

Model i:
Below is a geometry-optimized LiCu2I structure, with properties calculated at the GGA-PBE level.

Cell and atoms, written as POSCAR:
```
LiCu2I
1.0
0.0000 3.3288 3.3288
3.3288 0.0000 3.3288
3.3288 3.3288 0.0000
Li Cu I
1 2 1
Cartesian
0.0000 0.0000 0.0000 Li
1.6644 1.6644 1.6644 Cu
4.9932 4.9932 4.9932 Cu
3.3288 3.3288 3.3288 I
```

Values from the calculation:
density of states at the Fermi level	0.933	states/eV/f.u.
spin magnetization	0.00	μB per cell
crystal system	cubic

Model ii:
Below is a geometry-optimized LiCu2I structure, with properties calculated at the GGA-PBE level.

Cell and atoms, written as POSCAR:
```
LiCu2I
1.0
-1.8946 1.8946 10.2534
1.8946 -1.8946 10.2534
1.8946 1.8946 -10.2534
Li Cu I
2 4 2
Cartesian
0.0000 0.0000 0.0000 Li
0.0000 1.8946 5.1267 Li
2.8420 0.8651 -2.5633 Cu
0.8651 0.9473 2.5633 Cu
-0.9473 1.0296 7.6900 Cu
1.0296 0.9473 12.8167 Cu
1.8946 0.0000 5.1267 I
0.0000 0.0000 10.2534 I
```

Values from the calculation:
density of states at the Fermi level	0.754	states/eV/f.u.
spin magnetization	0.00	μB per cell
crystal system	tetragonal

Least stable = model i

Model i:
Below is a geometry-optimized LiCu2I3 structure, with properties calculated at the GGA-PBE level.

Cell and atoms, written as POSCAR:
```
LiCu2I3
1.0
8.0997 0.0000 0.0000
0.0000 4.1743 0.0000
-3.3863 0.0000 10.7866
Li Cu I
2 4 6
Cartesian
1.0617 1.0436 2.2811 Li
3.6517 3.1307 8.5055 Li
-2.8977 1.0436 10.0648 Cu
2.0382 3.1307 4.5850 Cu
2.6752 1.0436 6.2016 Cu
7.6111 3.1307 0.7218 Cu
-0.4057 3.1307 3.3866 I
-1.3453 3.1307 10.7525 I
1.2685 3.1307 7.1135 I
3.4449 1.0436 3.6731 I
6.0587 1.0436 0.0341 I
5.1191 1.0436 7.4000 I
```

Values from the calculation:
spin magnetization	0.00	μB per cell
crystal system	monoclinic

Model ii:
Below is a geometry-optimized LiCu2I3 structure, with properties calculated at the GGA-PBE level.

Cell and atoms, written as POSCAR:
```
LiCu2I3
1.0
3.7872 -6.5807 0.0000
3.7872 6.5807 0.0000
-2.5020 0.0000 7.1211
Li Cu I
2 4 6
Cartesian
2.5362 5.4462 3.5605 Li
3.7872 -5.4462 0.0000 Li
1.2984 3.2637 7.1070 Cu
2.5419 1.0870 3.5443 Cu
1.2909 -1.0870 7.1048 Cu
2.5494 -3.2637 3.5464 Cu
1.2338 3.1801 4.4698 I
2.6220 1.0890 0.9104 I
1.3710 -1.0890 4.4710 I
2.4848 -3.1801 0.9092 I
5.0426 1.1791 4.3738 I
6.2936 -1.1791 0.8133 I
```

Values from the calculation:
density of states at the Fermi level	0.000	states/eV/f.u.
spin magnetization	0.00	μB per cell
crystal system	monoclinic

Least stable = model i

Model i:
Below is a geometry-optimized LiCuI2N structure, with properties calculated at the GGA-PBE level.

Cell and atoms, written as POSCAR:
```
LiCuI2N
1.0
5.6909 0.0000 0.0000
0.0000 5.6909 0.0000
0.0000 0.0000 3.7384
Li Cu I N
1 1 2 1
Cartesian
0.0000 0.0000 0.0000 Li
2.8455 2.8455 1.8692 Cu
0.0000 2.8455 1.8692 I
2.8455 0.0000 1.8692 I
2.8455 2.8455 0.0000 N
```

Values from the calculation:
density of states at the Fermi level	2.545	states/eV/f.u.
spin magnetization	2.13	μB per cell
crystal system	tetragonal

Model ii:
Below is a geometry-optimized LiCuI2N structure, with properties calculated at the GGA-PBE level.

Cell and atoms, written as POSCAR:
```
LiCuI2N
1.0
5.3499 0.0000 0.0000
0.0000 5.3499 0.0000
0.0000 0.0000 3.7153
Li Cu I N
1 1 2 1
Cartesian
0.0000 0.0000 0.0000 Li
2.6750 2.6750 1.8577 Cu
0.0000 2.6750 0.0000 I
2.6750 0.0000 0.0000 I
0.0000 0.0000 1.8577 N
```

Values from the calculation:
density of states at the Fermi level	5.759	states/eV/f.u.
spin magnetization	0.00	μB per cell
crystal system	tetragonal

Least stable = model ii

Model i:
Below is a geometry-optimized LiCuIN2 structure, with properties calculated at the GGA-PBE level.

Cell and atoms, written as POSCAR:
```
LiCuIN2
1.0
3.7273 0.0000 0.0000
0.0000 3.7273 0.0000
0.0000 0.0000 5.8837
Li Cu I N
1 1 1 2
Cartesian
0.0000 0.0000 0.0000 Li
1.8637 1.8637 2.9418 Cu
0.0000 0.0000 2.9418 I
0.0000 1.8637 0.0000 N
1.8637 0.0000 0.0000 N
```

Values from the calculation:
density of states at the Fermi level	6.464	states/eV/f.u.
spin magnetization	0.24	μB per cell
crystal system	tetragonal

Model ii:
Below is a geometry-optimized LiCuIN2 structure, with properties calculated at the GGA-PBE level.

Cell and atoms, written as POSCAR:
```
LiCuIN2
1.0
3.8303 0.0000 0.0000
0.0000 3.8303 0.0000
0.0000 0.0000 6.9057
Li Cu I N
1 1 1 2
Cartesian
0.0000 0.0000 0.0000 Li
1.9151 1.9151 3.4528 Cu
1.9151 1.9151 0.0000 I
0.0000 1.9151 3.4528 N
1.9151 0.0000 3.4528 N
```

Values from the calculation:
density of states at the Fermi level	1.151	states/eV/f.u.
spin magnetization	3.69	μB per cell
crystal system	tetragonal

Least stable = model i